Run A
## TlBIr2 (PBE)

Data for a relaxed TlBIr2 crystal.

Cell: 4.385 4.385 4.385 Å, 60.00 60.00 60.00°
Element x y z (fractional)
1 Ir 0.750 0.750 0.750
2 Ir 0.250 0.250 0.250
3 B 0.000 0.000 0.000
4 Tl 0.500 0.500 0.500

Its space-group type is No. 225.

***

Run B
## TlBIr2 (PBE)

Data for a relaxed TlBIr2 crystal.

Cell: 6.699 6.699 5.487 Å, 52.38 52.38 90.00°
Element x y z (fractional)
1 B 0.500 0.500 0.000
2 Ir 0.375 0.474 0.750
3 B 0.250 0.750 0.500
4 Tl 0.750 0.250 0.500
5 Tl 0.000 0.000 0.000
6 Ir 0.875 0.776 0.750
7 Ir 0.224 0.625 0.250
8 Ir 0.526 0.125 0.250

Its space-group type is No. 122.

***

If we sort the structures by their calculated energies, the order from most to least stable is run B, run A.

***

Run A
## UB3Ir3 (PBE)

Data for a relaxed UB3Ir3 crystal.

Cell: 5.892 5.892 5.892 Å, 90.00 90.00 90.00°
Element x y z (fractional)
1 Ir 0.500 0.000 0.250
2 Ir 0.250 0.500 0.000
3 Ir 0.500 0.000 0.750
4 Ir 0.000 0.750 0.500
5 U 0.000 0.000 0.000
6 B 0.750 0.000 0.500
7 Ir 0.750 0.500 0.000
8 B 0.000 0.500 0.250
9 B 0.000 0.500 0.750
10 Ir 0.000 0.250 0.500
11 B 0.500 0.250 0.000
12 B 0.500 0.750 0.000
13 B 0.250 0.000 0.500
14 U 0.500 0.500 0.500

Its space-group type is No. 223.

***

Run B
## UB3Ir3 (PBE)

Data for a relaxed UB3Ir3 crystal.

Cell: 3.647 7.785 7.785 Å, 120.00 90.00 90.00°
Element x y z (fractional)
1 Ir 0.250 0.659 0.731
2 Ir 0.750 0.731 0.071
3 B 0.750 0.434 0.053
4 B 0.250 0.382 0.434
5 U 0.250 0.667 0.333
6 B 0.750 0.618 0.566
7 Ir 0.750 0.928 0.659
8 B 0.250 0.053 0.618
9 B 0.250 0.566 0.947
10 B 0.750 0.947 0.382
11 U 0.750 0.333 0.667
12 Ir 0.250 0.072 0.341
13 Ir 0.250 0.269 0.929
14 Ir 0.750 0.341 0.269

Its space-group type is No. 176.

***

If we sort the structures by their calculated energies, the order from most to least stable is run B, run A.